SiNiAsP | GGA-PBE | relaxed

Values from the calculation:
* space-group type: Cm
* calculated density: 5.30 Mg/m³
* ΔE_f (raw): -0.02 eV/atom

Unit cell a=3.448 b=3.448 c=6.139 alpha=105.80 beta=105.80 gamma=60.76
Atoms (fractional coordinates):
Si: 0.000 0.000 0.000
Ni: 0.480 0.480 0.453
As: 0.219 0.219 0.687
P: 0.733 0.733 0.217